1.
{
  "formula": "La4InPt2",
  "functional": "PBE",
  "state": "relaxed",
  "lattice": [[7.580, 0.000, 0.000], [0.000, 11.051, 0.000], [0.000, 0.000, 4.833]],
  "species": ["La", "La", "La", "La", "La", "La", "La", "La", "In", "In", "Pt", "Pt", "Pt", "Pt"],
  "fractional_positions": [[0.129, 0.193, 0.000], [0.232, 0.929, 0.500], [0.268, 0.429, 0.500], [0.371, 0.693, 0.000], [0.629, 0.307, 0.000], [0.732, 0.571, 0.500], [0.768, 0.071, 0.500], [0.871, 0.807, 0.000], [0.000, 0.500, 0.000], [0.500, 0.000, 0.000], [0.100, 0.678, 0.500], [0.400, 0.178, 0.500], [0.600, 0.822, 0.500], [0.900, 0.322, 0.500]],
  "sg": "Pbam (55)",
  "e_form_ev_per_atom": -0.782
}


2.
{
  "formula": "Ac6Hg3N2",
  "functional": "PBE",
  "state": "relaxed",
  "lattice": [[-2.630, 2.630, 12.897], [2.630, -2.630, 12.897], [2.630, 2.630, -12.897]],
  "species": ["Ac", "Ac", "Ac", "Ac", "Ac", "Ac", "Hg", "Hg", "Hg", "N", "N"],
  "fractional_positions": [[0.085, 0.585, 0.500], [0.199, 0.199, 0.000], [0.415, 0.915, 0.500], [0.585, 0.085, 0.500], [0.801, 0.801, 0.000], [0.915, 0.415, 0.500], [0.328, 0.328, 0.000], [0.500, 0.500, 0.000], [0.672, 0.672, 0.000], [0.106, 0.106, 0.000], [0.894, 0.894, 0.000]],
  "e_form_raw_ev_per_atom": -0.6149,
  "sg": "I4/mmm (139)"
}


3.
{
  "formula": "CdAs3",
  "functional": "PBE",
  "state": "relaxed",
  "lattice": [[3.272, -8.066, 0.000], [3.272, 8.066, 0.000], [0.000, 0.000, 3.669]],
  "species": ["Cd", "Cd", "As", "As", "As", "As", "As", "As"],
  "fractional_positions": [[0.070, 0.930, 0.750], [0.930, 0.070, 0.250], [0.093, 0.494, 0.250], [0.451, 0.549, 0.750], [0.494, 0.093, 0.750], [0.506, 0.907, 0.250], [0.549, 0.451, 0.250], [0.907, 0.506, 0.750]],
  "sg": "Cmcm (63)",
  "e_form_ev_per_atom": 0.094,
  "polymorph_energy_mev_per_atom": 122
}


no.,volume (Å³ per cell),total moment (μB per formula unit)
1,404.9,0.00
2,356.8,0.00
3,193.6,0.00